Material: CuCl
Method: DFT, GGA-PBEsol
State: relaxed

Summary:
- raw formation energy (eV/atom) = -0.3094
- crystal system = orthorhombic
- magnetic moment (μB/cell) = 0.000

abc: 6.770 6.725 9.605
angles: 90.00 90.00 90.00
Positions (direct):
1 Cu 0.750 0.042 0.291
2 Cl 0.000 0.250 0.185
3 Cu 0.250 0.958 0.709
4 Cu 0.250 0.045 0.268
5 Cl 0.500 0.250 0.185
6 Cl 0.000 0.750 0.815
7 Cl 0.250 0.229 0.848
8 Cu 0.500 0.250 0.672
9 Cu 0.250 0.458 0.291
10 Cu 0.750 0.955 0.732
11 Cl 0.250 0.729 0.152
12 Cu 0.750 0.455 0.268
13 Cu 0.500 0.750 0.328
14 Cu 0.000 0.750 0.328
15 Cl 0.750 0.771 0.152
16 Cl 0.250 0.384 0.520
17 Cu 0.000 0.250 0.672
18 Cl 0.250 0.884 0.480
19 Cl 0.500 0.750 0.815
20 Cl 0.750 0.116 0.520
21 Cu 0.250 0.545 0.732
22 Cu 0.750 0.542 0.709
23 Cl 0.750 0.616 0.480
24 Cl 0.750 0.271 0.848